VASP calculation (GGA-PBE) on a geometry-optimized InAsF6 structure.

Raw total energy, eV/atom: -4.42
Formation energy from raw total energies, eV per atom: -2.089

Geometry as CIF:
```
data_InAsF6
_cell_length_a 7.6699
_cell_length_b 7.6699
_cell_length_c 7.7359
_cell_angle_alpha 90.00
_cell_angle_beta 90.00
_cell_angle_gamma 120.00
_symmetry_space_group_name_H-M 'R -3'
_symmetry_Int_Tables_number 148
_symmetry_space_group_name_Hall '-R 3'
loop_
_atom_site_label
_atom_site_type_symbol
_atom_site_fract_x
_atom_site_fract_y
_atom_site_fract_z
In1 In 0.0000 0.0000 0.0000
As1 As 0.0000 0.0000 0.5000
F1 F 0.0768 0.8623 0.6343
```